# 1
AlHg2Br: optimized geometry, PBE.

Summary:
total moment	0.000	μB per formula unit
space group	R-3m
Fermi-level density of states	2.02	states/eV/cell
final energy	-1.58	eV per atom

Unit cell a=4.090 b=4.090 c=22.103 alpha=90.00 beta=90.00 gamma=120.00
Atoms (fractional coordinates):
1 Al 0.000 0.000 0.000
2 Al 0.333 0.667 0.667
3 Al 0.667 0.333 0.333
4 Hg 0.000 0.000 0.262
5 Hg 0.000 0.000 0.738
6 Hg 0.333 0.667 0.405
7 Hg 0.333 0.667 0.929
8 Hg 0.667 0.333 0.071
9 Hg 0.667 0.333 0.595
10 Br 0.000 0.000 0.500
11 Br 0.333 0.667 0.167
12 Br 0.667 0.333 0.833

# 2
AlHg2Br: optimized geometry, PBE.

Summary:
total moment	0.000	μB per formula unit
space group	P4/mmm
Fermi-level density of states	0.45	states/eV/cell
final energy	-1.50	eV per atom

Unit cell a=3.613 b=3.613 c=7.608 alpha=90.00 beta=90.00 gamma=90.00
Atoms (fractional coordinates):
1 Al 0.000 0.000 0.000
2 Hg 0.500 0.500 0.224
3 Hg 0.500 0.500 0.776
4 Br 0.000 0.000 0.500

# 3
AlHgBr3: optimized geometry, PBE.

Summary:
total moment	0.000	μB per formula unit
space group	P1
Fermi-level density of states	0.00	states/eV/cell
final energy	-2.65	eV per atom

Unit cell a=6.407 b=7.253 c=9.714 alpha=74.45 beta=89.91 gamma=89.83
Atoms (fractional coordinates):
1 Al 0.000 0.000 0.000
2 Al 0.279 0.500 0.500
3 Hg 0.366 0.097 0.899
4 Hg 0.913 0.597 0.400
5 Br 0.325 0.588 0.708
6 Br 0.330 0.178 0.528
7 Br 0.492 0.685 0.314
8 Br 0.787 0.184 0.814
9 Br 0.951 0.678 0.029
10 Br 0.953 0.089 0.208

# 4
AlHg2Br: optimized geometry, PBE.

Summary:
total moment	0.000	μB per formula unit
space group	Immm
Fermi-level density of states	2.03	states/eV/cell
final energy	-1.56	eV per atom

Unit cell a=3.515 b=5.012 c=12.304 alpha=90.00 beta=90.00 gamma=90.00
Atoms (fractional coordinates):
1 Al 0.000 0.000 0.000
2 Al 0.500 0.500 0.500
3 Hg 0.000 0.500 0.300
4 Hg 0.000 0.500 0.700
5 Hg 0.500 0.000 0.200
6 Hg 0.500 0.000 0.800
7 Br 0.000 0.000 0.500
8 Br 0.500 0.500 0.000

# 5
AlHg2Br: optimized geometry, PBE.

Summary:
total moment	0.000	μB per formula unit
space group	P4mm
final energy	-1.58	eV per atom

Unit cell a=3.556 b=3.556 c=9.445 alpha=90.00 beta=90.00 gamma=90.00
Atoms (fractional coordinates):
1 Al 0.000 0.000 0.000
2 Hg 0.000 0.000 0.509
3 Hg 0.500 0.500 0.772
4 Br 0.500 0.500 0.161

# 6
AlHgBr3: optimized geometry, PBE.

Summary:
total moment	0.000	μB per formula unit
space group	Pm-3m
Fermi-level density of states	2.20	states/eV/cell
final energy	-2.34	eV per atom

Unit cell a=5.165 b=5.165 c=5.165 alpha=90.00 beta=90.00 gamma=90.00
Atoms (fractional coordinates):
1 Al 0.000 0.000 0.000
2 Hg 0.500 0.500 0.500
3 Br 0.000 0.000 0.500
4 Br 0.000 0.500 0.000
5 Br 0.500 0.000 0.000

# 7
AlHg2Br: optimized geometry, PBE.

Summary:
total moment	0.000	μB per formula unit
space group	I-42d
Fermi-level density of states	1.77	states/eV/cell
final energy	-1.53	eV per atom

Unit cell a=6.786 b=6.786 c=12.314 alpha=90.00 beta=90.00 gamma=90.00
Atoms (fractional coordinates):
1 Al 0.000 0.000 0.000
2 Al 0.000 0.500 0.250
3 Al 0.500 0.000 0.750
4 Al 0.500 0.500 0.500
5 Hg 0.198 0.250 0.125
6 Hg 0.250 0.698 0.375
7 Hg 0.250 0.802 0.875
8 Hg 0.302 0.250 0.625
9 Hg 0.698 0.750 0.625
10 Hg 0.750 0.198 0.875
11 Hg 0.750 0.302 0.375
12 Hg 0.802 0.750 0.125
13 Br 0.000 0.000 0.500
14 Br 0.000 0.500 0.750
15 Br 0.500 0.000 0.250
16 Br 0.500 0.500 0.000

# 8
AlHg3Br4: optimized geometry, PBE.

Summary:
total moment	0.000	μB per formula unit
space group	Pmn2_1
Fermi-level density of states	6.15	states/eV/cell
final energy	-2.04	eV per atom

Unit cell a=12.216 b=7.027 c=6.335 alpha=90.00 beta=90.00 gamma=90.00
Atoms (fractional coordinates):
1 Al 0.000 0.073 0.000
2 Al 0.500 0.927 0.500
3 Hg 0.000 0.630 0.392
4 Hg 0.230 0.535 0.393
5 Hg 0.270 0.465 0.893
6 Hg 0.500 0.370 0.892
7 Hg 0.730 0.465 0.893
8 Hg 0.770 0.535 0.393
9 Br 0.000 0.094 0.365
10 Br 0.000 0.394 0.885
11 Br 0.158 0.927 0.881
12 Br 0.342 0.073 0.381
13 Br 0.500 0.606 0.385
14 Br 0.500 0.906 0.865
15 Br 0.658 0.073 0.381
16 Br 0.842 0.927 0.881

# 9
AlHg2Br: optimized geometry, PBE.

Summary:
total moment	0.000	μB per formula unit
space group	Cm
Fermi-level density of states	1.22	states/eV/cell
final energy	-1.69	eV per atom

Unit cell a=9.530 b=3.467 c=8.107 alpha=90.00 beta=108.40 gamma=90.00
Atoms (fractional coordinates):
1 Al 0.000 0.000 0.000
2 Al 0.500 0.500 0.000
3 Hg 0.243 0.000 0.902
4 Hg 0.427 0.000 0.627
5 Hg 0.743 0.500 0.902
6 Hg 0.927 0.500 0.627
7 Br 0.091 0.500 0.248
8 Br 0.591 0.000 0.248

# 10
AlHg2Br: optimized geometry, PBE.

Summary:
total moment	0.000	μB per formula unit
space group	Imm2
Fermi-level density of states	1.70	states/eV/cell
final energy	-1.67	eV per atom

Unit cell a=3.473 b=4.270 c=16.412 alpha=90.00 beta=90.00 gamma=90.00
Atoms (fractional coordinates):
1 Al 0.000 0.000 0.000
2 Al 0.500 0.500 0.500
3 Hg 0.000 0.000 0.446
4 Hg 0.000 0.500 0.293
5 Hg 0.500 0.000 0.793
6 Hg 0.500 0.500 0.946
7 Br 0.000 0.500 0.620
8 Br 0.500 0.000 0.120

# 11
AlHgIBr4: optimized geometry, PBE.

Summary:
total moment	0.000	μB per formula unit
space group	C2/m
Fermi-level density of states	0.00	states/eV/cell
final energy	-2.54	eV per atom

Unit cell a=8.960 b=8.960 c=11.010 alpha=118.34 beta=118.34 gamma=71.06
Atoms (fractional coordinates):
1 Al 0.216 0.216 0.272
2 Al 0.784 0.784 0.728
3 Hg 0.015 0.015 0.343
4 Hg 0.985 0.985 0.657
5 I 0.179 0.179 0.672
6 I 0.821 0.821 0.328
7 Br 0.078 0.726 0.760
8 Br 0.249 0.249 0.094
9 Br 0.274 0.922 0.240
10 Br 0.375 0.375 0.513
11 Br 0.625 0.625 0.487
12 Br 0.726 0.078 0.760
13 Br 0.751 0.751 0.906
14 Br 0.922 0.274 0.240

# 12
Al2HgI6Br2: optimized geometry, PBE.

Summary:
total moment	0.000	μB per formula unit
space group	P-3
final energy	-2.47	eV per atom

Unit cell a=7.383 b=7.383 c=10.717 alpha=90.00 beta=90.00 gamma=120.00
Atoms (fractional coordinates):
1 Al 0.333 0.667 0.246
2 Al 0.667 0.333 0.754
3 Hg 0.000 0.000 0.500
4 I 0.000 0.336 0.673
5 I 0.000 0.664 0.327
6 I 0.336 0.000 0.673
7 I 0.336 0.336 0.327
8 I 0.664 0.000 0.327
9 I 0.664 0.664 0.673
10 Br 0.333 0.667 0.034
11 Br 0.667 0.333 0.966

> What is the formula in the second record?

AlHg2Br